The following is a PBE-GGA calculation of a geometry-optimized YThCoIr structure, from Alexandria.

For the raw total energy, the calculation gives -126.75 eV per cell. The density of states at the Fermi level is 0.639 states/eV/atom. For the volume, the calculation gives 21.0 Å³/atom.

```
data_YThCoIr
_cell_length_a 6.949
_cell_length_b 6.949
_cell_length_c 6.949
_cell_angle_alpha 90.00
_cell_angle_beta 90.00
_cell_angle_gamma 90.00
_symmetry_space_group_name_H-M 'F -4 3 m'
_symmetry_Int_Tables_number 216
_symmetry_space_group_name_Hall 'F -4 2 3'
loop_
_atom_site_label
_atom_site_type_symbol
_atom_site_fract_x
_atom_site_fract_y
_atom_site_fract_z
_atom_site_occupancy
Y1 Y 0.000 0.000 0.000 1
Th1 Th 0.000 0.000 0.500 1
Co1 Co 0.250 0.250 0.750 1
Ir1 Ir 0.250 0.250 0.250 1
```

---

The following is a PBE-GGA calculation of a geometry-optimized TiCoIr structure, from Alexandria.

For the raw total energy, the calculation gives -23.79 eV per cell. The density of states at the Fermi level is 1.254 states/eV/atom. The value obtained for the relative energy among the computed polymorphs is 0.4180 eV per atom. For the volume, the calculation gives 15.2 Å³/atom.

```
data_TiCoIr
_cell_length_a 3.825
_cell_length_b 2.942
_cell_length_c 4.062
_cell_angle_alpha 90.00
_cell_angle_beta 90.12
_cell_angle_gamma 90.00
_symmetry_space_group_name_H-M 'P 1 2/m 1'
_symmetry_Int_Tables_number 10
loop_
_symmetry_equiv_pos_as_xyz
'x,y,z'
'-x,-y,-z'
'-x,y,-z'
'x,-y,z'
loop_
_atom_site_label
_atom_site_type_symbol
_atom_site_fract_x
_atom_site_fract_y
_atom_site_fract_z
_atom_site_occupancy
Ti1 Ti 0.000 0.000 0.000 1
Co1 Co 0.500 0.500 0.000 1
Ir1 Ir 0.500 0.000 0.500 1
```

---

The following is a PBE-GGA calculation of a geometry-optimized Ti6CoIr structure, from Alexandria.

For the raw total energy, the calculation gives -132.26 eV per cell. The density of states at the Fermi level is 1.144 states/eV/atom. The value obtained for the relative energy among the computed polymorphs is 0.0000 eV per atom. For the volume, the calculation gives 15.6 Å³/atom.

```
data_Ti6CoIr
_cell_length_a 4.305
_cell_length_b 4.305
_cell_length_c 13.427
_cell_angle_alpha 90.00
_cell_angle_beta 90.00
_cell_angle_gamma 90.00
_symmetry_space_group_name_H-M 'I 4/m m m'
_symmetry_Int_Tables_number 139
_symmetry_space_group_name_Hall '-I 4 2'
loop_
_atom_site_label
_atom_site_type_symbol
_atom_site_fract_x
_atom_site_fract_y
_atom_site_fract_z
_atom_site_occupancy
Ti1 Ti 0.000 0.000 0.250 1
Ti2 Ti 0.000 0.500 0.115 1
Co1 Co 0.000 0.000 0.000 1
Ir1 Ir 0.000 0.000 0.500 1
```